Here is an optimized crystal structure of YFeW2O8 from the Alexandria database. Energies are from GGA+U.

It has space group P-1 (No. 2), with a = 5.220 Å, b = 5.844 Å, c = 10.076 Å, α = 89.97°, β = 85.52° and γ = 88.61°. The asymmetric unit holds Y at (0.245, 0.183, 0.260), Fe at (0.248, 0.190, 0.737), W at (0.242, 0.666, 0.494), W at (0.248, 0.669, 0.006), O at (0.042, 0.422, 0.619), O at (0.054, 0.387, 0.096), O at (0.089, 0.862, 0.133), O at (0.121, 0.893, 0.618), O at (0.387, 0.875, 0.885), O at (0.402, 0.868, 0.355), O at (0.430, 0.384, 0.406) and O at (0.457, 0.406, 0.893).

For the mass density, the calculation gives 6.94 g/cm³. As for the volume: 12.76 A^3/atom. The calculation puts the uncorrected energy at -186.731 eV per cell. The total magnetization comes out at 10.000 Bohr magnetons per cell.